Run one
This record from the Alexandria database describes MnW3Br after structural relaxation. The functional is PBE-GGA.

Calculated values
The value obtained for the calculated volume is 95.0 Å³ per cell.

Unit cell a=4.5628 b=4.5628 c=4.5628 alpha=90.00 beta=90.00 gamma=90.00
Atoms (fractional coordinates):
Mn: 0.0000 0.0000 0.0000
W: 0.0000 0.0000 0.5000
W: 0.0000 0.5000 0.0000
W: 0.5000 0.0000 0.0000
Br: 0.5000 0.5000 0.5000


Run two
This record from the Alexandria database describes MnW3Br after structural relaxation. The functional is PBE-GGA.

Calculated values
The value obtained for the calculated volume is 93.7 Å³ per cell.

Unit cell a=4.5421 b=4.5421 c=4.5421 alpha=90.00 beta=90.00 gamma=90.00
Atoms (fractional coordinates):
Mn: 0.0000 0.0000 0.0000
W: 0.0000 0.5000 0.5000
W: 0.5000 0.0000 0.5000
W: 0.5000 0.5000 0.0000
Br: 0.5000 0.5000 0.5000


Which structure loses on stability? run two does.


Run one
This record from the Alexandria database describes MnW2Br after structural relaxation. The functional is PBE-GGA.

Calculated values
The value obtained for the calculated volume is 76.6 Å³ per cell.

Unit cell a=3.2505 b=3.2505 c=7.2519 alpha=90.00 beta=90.00 gamma=90.00
Atoms (fractional coordinates):
Mn: 0.0000 0.0000 0.0000
W: 0.0000 0.0000 0.3811
W: 0.5000 0.5000 0.2029
Br: 0.5000 0.5000 0.7863


Run two
This record from the Alexandria database describes MnW2Br after structural relaxation. The functional is PBE-GGA.

Calculated values
The value obtained for the calculated volume is 71.2 Å³ per cell.

Unit cell a=2.9430 b=2.9430 c=8.9886 alpha=90.00 beta=90.00 gamma=113.93
Atoms (fractional coordinates):
Mn: 0.0000 0.0000 0.0000
W: 0.0000 0.0000 0.4569
W: 0.5000 0.5000 0.2335
Br: 0.5000 0.5000 0.7733


Run three
This record from the Alexandria database describes MnW2Br after structural relaxation. The functional is PBE-GGA.

Calculated values
The value obtained for the calculated volume is 75.6 Å³ per cell.

Unit cell a=3.2483 b=3.1403 c=7.4072 alpha=90.00 beta=90.12 gamma=90.00
Atoms (fractional coordinates):
Mn: 0.0000 0.0000 0.0000
W: 0.4989 0.5000 0.7952
W: 0.9969 0.0000 0.6070
Br: 0.9914 0.5000 0.3047


Which structure loses on stability? run one does.


Run one
This record from the Alexandria database describes MnW2Br after structural relaxation. The functional is PBE-GGA.

Calculated values
The value obtained for the calculated volume is 61.5 Å³ per cell.

Unit cell a=4.4313 b=4.4313 c=4.4313 alpha=60.00 beta=60.00 gamma=60.00
Atoms (fractional coordinates):
Mn: 0.0000 0.0000 0.0000
W: 0.2500 0.2500 0.2500
W: 0.7500 0.7500 0.7500
Br: 0.5000 0.5000 0.5000


Run two
This record from the Alexandria database describes MnW2Br after structural relaxation. The functional is PBE-GGA.

Calculated values
The value obtained for the calculated volume is 65.9 Å³ per cell.

Unit cell a=2.8406 b=2.8406 c=9.0623 alpha=90.00 beta=90.00 gamma=115.70
Atoms (fractional coordinates):
Mn: 0.0000 0.0000 0.0000
W: 0.5000 0.5000 0.2232
W: 0.5000 0.5000 0.7768
Br: 0.0000 0.0000 0.5000


Run three
This record from the Alexandria database describes MnW2Br after structural relaxation. The functional is PBE-GGA.

Calculated values
The value obtained for the calculated volume is 63.6 Å³ per cell.

Unit cell a=8.6654 b=8.6654 c=8.6654 alpha=19.53 beta=19.53 gamma=19.53
Atoms (fractional coordinates):
Mn: 0.0000 0.0000 0.0000
W: 0.2558 0.2558 0.2558
W: 0.7442 0.7442 0.7442
Br: 0.5000 0.5000 0.5000


Run four
This record from the Alexandria database describes MnW2Br after structural relaxation. The functional is PBE-GGA.

Calculated values
The value obtained for the calculated volume is 66.3 Å³ per cell.

Unit cell a=3.0600 b=4.5072 c=4.8070 alpha=90.00 beta=90.00 gamma=90.00
Atoms (fractional coordinates):
Mn: 0.0000 0.0000 0.0000
W: 0.0000 0.5000 0.5000
W: 0.5000 0.0000 0.5000
Br: 0.5000 0.5000 0.0000


Which structure loses on stability? run one does.


Run one
This record from the Alexandria database describes MnW2Br after structural relaxation. The functional is PBE-GGA.

Calculated values
The value obtained for the calculated volume is 60.4 Å³ per cell.

Unit cell a=2.9414 b=2.9414 c=6.9771 alpha=90.00 beta=90.00 gamma=90.00
Atoms (fractional coordinates):
Mn: 0.0000 0.0000 0.0000
W: 0.5000 0.5000 0.2265
W: 0.5000 0.5000 0.7735
Br: 0.0000 0.0000 0.5000


Run two
This record from the Alexandria database describes MnW2Br after structural relaxation. The functional is PBE-GGA.

Calculated values
The value obtained for the calculated volume is 74.9 Å³ per cell.

Unit cell a=3.0389 b=3.4186 c=7.2113 alpha=90.00 beta=90.00 gamma=90.00
Atoms (fractional coordinates):
Mn: 0.0000 0.0000 0.0000
W: 0.5000 0.5000 0.1705
W: 0.5000 0.5000 0.8295
Br: 0.0000 0.5000 0.5000


Which structure loses on stability? run one does.


Run one
This record from the Alexandria database describes MnW2Br after structural relaxation. The functional is PBE-GGA.

Calculated values
The value obtained for the calculated volume is 168.1 Å³ per cell.

Unit cell a=7.2988 b=7.2988 c=7.2988 alpha=138.63 beta=138.63 gamma=59.94
Atoms (fractional coordinates):
Mn: 0.0000 0.0000 0.0000
Mn: 0.7500 0.2500 0.5000
W: 0.0672 0.6250 0.9422
W: 0.3750 0.3172 0.4422
W: 0.6828 0.1250 0.0578
W: 0.8750 0.9328 0.5578
Br: 0.2500 0.7500 0.5000
Br: 0.5000 0.5000 0.0000


Run two
This record from the Alexandria database describes MnW2Br after structural relaxation. The functional is PBE-GGA.

Calculated values
The value obtained for the calculated volume is 66.8 Å³ per cell.

Unit cell a=5.3924 b=5.3924 c=5.3924 alpha=139.00 beta=139.00 gamma=59.38
Atoms (fractional coordinates):
Mn: 0.0000 0.0000 0.0000
W: 0.2500 0.7500 0.5000
W: 0.7500 0.2500 0.5000
Br: 0.5000 0.5000 0.0000


Run three
This record from the Alexandria database describes MnW2Br after structural relaxation. The functional is PBE-GGA.

Calculated values
The value obtained for the calculated volume is 66.7 Å³ per cell.

Unit cell a=4.7322 b=4.7322 c=4.7322 alpha=126.17 beta=126.17 gamma=79.61
Atoms (fractional coordinates):
Mn: 0.0000 0.0000 0.0000
W: 0.2500 0.7500 0.5000
W: 0.5000 0.5000 0.0000
Br: 0.7500 0.2500 0.5000


Which structure loses on stability? run one does.


Run one
This record from the Alexandria database describes MnW2Br after structural relaxation. The functional is PBE-GGA.

Calculated values
The value obtained for the calculated volume is 65.5 Å³ per cell.

Unit cell a=5.4679 b=5.4679 c=5.4679 alpha=147.41 beta=131.38 gamma=59.77
Atoms (fractional coordinates):
Mn: 0.0000 0.0000 0.0000
W: 0.2516 0.7516 0.5000
W: 0.7484 0.2484 0.5000
Br: 0.5000 0.5000 0.0000


Run two
This record from the Alexandria database describes MnW2Br after structural relaxation. The functional is PBE-GGA.

Calculated values
The value obtained for the calculated volume is 61.6 Å³ per cell.

Unit cell a=4.8894 b=4.8894 c=4.6899 alpha=107.26 beta=107.26 gamma=35.32
Atoms (fractional coordinates):
Mn: 0.0000 0.0000 0.0000
W: 0.2796 0.2796 0.8770
W: 0.5024 0.5024 0.5354
Br: 0.7358 0.7358 0.3126


Which structure loses on stability? run one does.